Entry 1:
RbSmHoTe3 | PBE | optimized geometry

Cell lengths 8.733, 8.733, 12.012 Å; angles 90.00, 90.00, 148.38 degrees
Atoms (fractional coordinates):
Rb  0.244  0.756  0.750
Rb  0.756  0.244  0.250
Sm  0.500  0.500  0.000
Sm  0.500  0.500  0.500
Ho  0.034  0.966  0.250
Ho  0.966  0.034  0.750
Te  0.128  0.872  0.046
Te  0.128  0.872  0.454
Te  0.431  0.569  0.250
Te  0.569  0.431  0.750
Te  0.872  0.128  0.546
Te  0.872  0.128  0.954

Summary:
The calculation puts the raw total energy at -27.1 eV/f.u. The space-group type is No. 63.

---

Entry 2:
PrTlPO | PBE | optimized geometry

Cell lengths 4.296, 4.296, 9.517 Å; angles 90.00, 90.00, 90.00 degrees
Atoms (fractional coordinates):
Pr  0.250  0.250  0.115
Pr  0.750  0.750  0.885
Tl  0.250  0.750  0.500
Tl  0.750  0.250  0.500
P  0.250  0.250  0.713
P  0.750  0.750  0.287
O  0.250  0.750  0.000
O  0.750  0.250  0.000

Summary:
The calculation puts the raw total energy at -22.8 eV/f.u. The space-group type is No. 129. The calculation puts the energy above the most stable polymorph in this dataset at 0.0 kJ/mol of atoms.

---

Entry 3:
GdMgZn | PBE | optimized geometry

Cell lengths 6.246, 6.364, 16.096 Å; angles 86.60, 88.16, 61.49 degrees
Atoms (fractional coordinates):
Gd  0.000  0.000  0.000
Gd  0.015  0.331  0.396
Gd  0.219  0.755  0.418
Gd  0.420  0.428  0.972
Gd  0.545  0.894  0.889
Gd  0.724  0.672  0.527
Gd  0.828  0.087  0.607
Gd  0.863  0.562  0.091
Mg  0.005  0.403  0.877
Mg  0.082  0.837  0.805
Mg  0.087  0.027  0.227
Mg  0.244  0.410  0.241
Mg  0.255  0.212  0.716
Mg  0.596  0.189  0.422
Mg  0.618  0.365  0.784
Mg  0.665  0.869  0.286
Zn  0.226  0.539  0.588
Zn  0.287  0.130  0.549
Zn  0.344  0.667  0.126
Zn  0.385  0.050  0.085
Zn  0.386  0.762  0.668
Zn  0.639  0.461  0.268
Zn  0.664  0.192  0.141
Zn  0.817  0.670  0.715

Summary:
The calculation puts the raw total energy at -7.7 eV/f.u. The space-group type is No. 1.

---

Entry 4:
GaCoMoOs | PBE | optimized geometry

Cell lengths 6.071, 6.071, 6.071 Å; angles 90.00, 90.00, 90.00 degrees
Atoms (fractional coordinates):
Ga  0.000  0.000  0.000
Ga  0.000  0.500  0.500
Ga  0.500  0.000  0.500
Ga  0.500  0.500  0.000
Co  0.250  0.250  0.250
Co  0.250  0.750  0.750
Co  0.750  0.250  0.750
Co  0.750  0.750  0.250
Mo  0.000  0.000  0.500
Mo  0.000  0.500  0.000
Mo  0.500  0.000  0.000
Mo  0.500  0.500  0.500
Os  0.250  0.250  0.750
Os  0.250  0.750  0.250
Os  0.750  0.250  0.250
Os  0.750  0.750  0.750

Summary:
The calculation puts the raw total energy at -32.2 eV/f.u. The space-group type is No. 216. The calculation puts the energy above the most stable polymorph in this dataset at 0.0 kJ/mol of atoms.

---

Entry 5:
PrCuHg | PBE | optimized geometry

Cell lengths 7.025, 7.025, 7.025 Å; angles 90.00, 90.00, 90.00 degrees
Atoms (fractional coordinates):
Pr  0.000  0.000  0.000
Pr  0.000  0.500  0.500
Pr  0.500  0.000  0.500
Pr  0.500  0.500  0.000
Cu  0.250  0.250  0.750
Cu  0.250  0.750  0.250
Cu  0.750  0.250  0.250
Cu  0.750  0.750  0.750
Hg  0.250  0.250  0.250
Hg  0.250  0.750  0.750
Hg  0.750  0.250  0.750
Hg  0.750  0.750  0.250

Summary:
The calculation puts the raw total energy at -8.4 eV/f.u. The space-group type is No. 216. The value obtained for the calculated formation energy is 14 kJ/mol of atoms.

---

Entry 6:
LiBeMo2 | PBE | optimized geometry

Cell lengths 6.011, 6.011, 6.011 Å; angles 90.00, 90.00, 90.00 degrees
Atoms (fractional coordinates):
Li  0.000  0.000  0.000
Li  0.000  0.500  0.500
Li  0.500  0.000  0.500
Li  0.500  0.500  0.000
Be  0.250  0.250  0.750
Be  0.250  0.750  0.250
Be  0.750  0.250  0.250
Be  0.750  0.750  0.750
Mo  0.000  0.000  0.500
Mo  0.000  0.500  0.000
Mo  0.250  0.250  0.250
Mo  0.250  0.750  0.750
Mo  0.500  0.000  0.000
Mo  0.500  0.500  0.500
Mo  0.750  0.250  0.750
Mo  0.750  0.750  0.250

Summary:
The calculation puts the raw total energy at -25.7 eV/f.u. The space-group type is No. 216. The calculation puts the energy above the most stable polymorph in this dataset at 0.0 kJ/mol of atoms.

---

Entry 7:
SrLuAs | PBE | optimized geometry

Cell lengths 7.026, 7.026, 7.026 Å; angles 90.00, 90.00, 90.00 degrees
Atoms (fractional coordinates):
Sr  0.000  0.000  0.000
Sr  0.000  0.500  0.500
Sr  0.500  0.000  0.500
Sr  0.500  0.500  0.000
Lu  0.000  0.000  0.500
Lu  0.000  0.500  0.000
Lu  0.500  0.000  0.000
Lu  0.500  0.500  0.500
As  0.250  0.250  0.750
As  0.250  0.750  0.250
As  0.750  0.250  0.250
As  0.750  0.750  0.750

Summary:
The calculation puts the raw total energy at -12.5 eV/f.u. The space-group type is No. 216. The calculation puts the energy above the most stable polymorph in this dataset at 0.0 kJ/mol of atoms.

---

Entry 8:
Dy3Y3Bi2Os | PBE | optimized geometry

Cell lengths 8.312, 8.312, 4.240 Å; angles 90.00, 90.00, 120.00 degrees
Atoms (fractional coordinates):
Dy  0.000  0.766  0.000
Dy  0.234  0.234  0.000
Dy  0.766  0.000  0.000
Y  0.000  0.389  0.500
Y  0.389  0.000  0.500
Y  0.611  0.611  0.500
Bi  0.333  0.667  0.000
Bi  0.667  0.333  0.000
Os  0.000  0.000  0.500

Summary:
The calculation puts the raw total energy at -57.6 eV/f.u. The space-group type is No. 189. The calculation puts the energy above the most stable polymorph in this dataset at 0.0 kJ/mol of atoms.